[1]
VASP calculation (PBE) on a relaxed Sm2Zn15Au2 crystal.

Geometry as POSCAR:
```
Sm2Zn15Au2
1.0
-1.632 -6.468 -1.648
-0.293 -2.480 6.402
-6.795 0.577 0.845
Sm Zn Au
2 15 2
Cartesian
-2.965 -2.846 1.904
-5.755 -5.525 3.696
-0.816 -3.234 -0.824
-3.398 0.288 0.423
-0.146 -1.240 3.201
-2.206 -1.580 4.767
-1.238 -5.295 0.721
-5.276 -1.496 0.112
-0.687 -3.654 4.033
-3.152 -4.395 -0.914
-4.882 -0.323 2.480
-4.859 -2.289 4.427
-2.356 -5.704 3.218
-5.508 -4.222 0.525
-3.862 -6.083 1.173
-6.364 -2.668 2.381
-3.212 -4.149 5.075
-0.957 -0.919 0.615
-7.763 -7.453 4.985
```

***

[2]
VASP calculation (PBE) on a relaxed Sm2ZnAu crystal.

Geometry as POSCAR:
```
Sm2ZnAu
1.0
3.668 0.000 0.000
0.000 5.163 0.000
0.000 0.000 10.356
Sm Zn Au
4 2 2
Cartesian
0.000 1.291 1.289
0.000 3.872 9.067
0.000 1.291 6.469
0.000 3.872 3.886
1.834 1.291 3.966
1.834 3.872 6.389
1.834 1.291 8.992
1.834 3.872 1.363
```

***

[3]
VASP calculation (PBE) on a relaxed Sm3ZnAu3 crystal.

Geometry as POSCAR:
```
Sm3ZnAu3
1.0
4.475 0.000 -0.976
-0.186 3.676 -0.854
-0.103 0.439 10.272
Sm Zn Au
3 1 3
Cartesian
1.180 3.258 5.409
2.993 0.843 2.977
0.015 0.016 0.068
1.761 1.965 8.074
0.524 2.527 2.404
3.689 1.619 6.164
2.394 2.117 0.230
```

***

[4]
VASP calculation (PBE) on a relaxed Sm3Zn8Au crystal.

Geometry as POSCAR:
```
Sm3Zn8Au
1.0
5.438 0.000 0.000
2.719 4.709 0.000
2.719 1.570 8.952
Sm Zn Au
3 8 1
Cartesian
5.438 3.140 7.761
8.157 4.709 0.226
5.438 3.140 4.342
6.791 2.358 1.674
6.787 5.500 6.129
4.085 2.358 1.674
9.526 5.500 6.129
2.719 1.570 3.893
8.157 4.709 8.377
5.438 4.702 1.674
8.157 3.128 6.129
8.157 4.709 3.467
```

***

[5]
VASP calculation (PBE) on a relaxed SmZn5Au2 crystal.

Geometry as POSCAR:
```
SmZn5Au2
1.0
-0.866 -2.032 -3.293
5.302 0.197 -3.904
3.355 -5.664 0.224
Sm Zn Au
1 5 2
Cartesian
0.000 0.000 0.000
4.329 -2.733 -1.840
3.006 -2.198 -4.209
4.785 -5.300 -2.763
5.515 -3.103 -4.311
2.276 -4.395 -2.662
5.921 -5.652 -5.233
1.870 -1.847 -1.740
```

***

[6]
SmZn3Au3 | the Alexandria database | PBE | relaxed; energy relative to the lowest polymorph listed for this composition = 390 meV/atom
1.0
-3.153 -5.723 -2.456
5.064 -0.754 -4.745
3.626 -3.925 4.492
Zn Au Sm
6 6 2
Cartesian
3.079 -2.151 1.060
5.611 -2.528 -1.313
1.143 -5.805 2.141
0.167 -4.669 -4.215
-0.670 -3.843 -0.105
1.744 -1.808 -2.987
1.025 -3.393 1.632
3.438 -1.358 -1.250
2.221 -3.427 -4.787
-0.552 -6.255 0.404
5.251 -3.321 0.996
-0.311 -3.050 -2.414
2.768 -5.201 -1.355
0.000 0.000 0.000

***

| no. | E_form (eV per atom) |
| --- | --- |
| 1 | -0.293 |
| 2 | -0.565 |
| 3 | -0.708 |
| 4 | -0.319 |
| 5 | -0.349 |
| 6 | 0.009 |